First-principles (PBE) data for InCuBr4 after structural relaxation, as listed in the Alexandria database.

a b c (Å): 6.4608 6.4608 6.4608
angles (deg): 60.00 60.00 60.00
Positions (direct):
Br1 0.3755 0.8734 0.3755
Br2 0.3755 0.3755 0.8734
Br3 0.8734 0.3755 0.3755
Br4 0.3755 0.3755 0.3755
In1 0.0000 0.0000 0.0000
Cu1 0.7500 0.7500 0.7500

* formation energy from raw total energies: 3.2 eV per formula unit


First-principles (PBE) data for In2CuBr after structural relaxation, as listed in the Alexandria database.

a b c (Å): 3.5594 3.3574 8.0144
angles (deg): 90.10 90.00 90.00
Positions (direct):
Cu1 0.5000 0.7500 0.7500
In1 0.0000 0.2506 0.9485
In2 0.0000 0.2494 0.5515
Br1 0.5000 0.2500 0.2500

* formation energy from raw total energies: -0.3 eV per formula unit
* energy above the most stable polymorph in this dataset: 3.9 kJ per mole of atoms


Q: Number 1 is which compound?
A: InCuBr4